The following is a DFT calculation (PBE) of a relaxed structure of SmEr2Tm.

a = 6.901 Å, b = 6.880 Å, c = 10.958 Å
α = 90.00°, β = 90.03°, γ = 90.00°
Space group P2/c (No. 13)
Inequivalent atoms, fractional coordinates:
Sm  0.126  0.126  0.388 x4
Er  0.126  0.376  0.887 x4
Er  0.376  0.126  0.113 x4
Tm  0.376  0.376  0.613 x4

Computed properties:
As for the formation enthalpy at 0 K: 215 meV/atom. The energy is -4.364 eV per atom.